DFT (GGA+U) results for crystalline Li4Mn3CoO8 at its relaxed geometry.

abc: 5.9704 5.9704 14.5781
angles: 90.00 90.00 120.00
Space group R-3m (No. 166, hexagonal axes)
Symmetry-distinct sites (fractional):
Li: 0.0000 0.0000 0.0000
Li: 0.0000 0.5000 0.0000
Mn: 0.0000 0.5000 0.5000
Co: 0.0000 0.0000 0.5000
O: 0.0000 0.0000 0.2505
O: 0.0192 0.5096 0.7605

Results
* excess energy over the best structure of this formula in the dataset: 16 meV per atom
* total energy: -6.351 eV/atom
* Fermi-level density of states: 14.62 states/eV per cell